Hf4BH2 | PBE | optimized geometry

The structure in extended XYZ format:
```
7
Lattice="-2.280 2.280 5.061 2.280 -2.280 5.061 2.280 2.280 -5.061" Properties=species:S:1:pos:R:3 pbc="T T T"
Hf 2.280 0.000 0.000
Hf 0.000 0.000 2.343
Hf 0.000 2.280 0.000
Hf 0.000 0.000 7.778
B 0.000 0.000 0.000
H 0.000 0.000 4.308
H 0.000 0.000 5.813
```

Calculated values
As for the total magnetization: 0.00 μB per formula unit. The calculation puts the calculated volume at 15.0 Å³/atom. Its space group is No. 139. Its energy is -7.674 eV/atom.